A crystal of Al2SbRh relaxed with PBEsol. Source: the Alexandria database, functional meta-GGA SCAN.

The space group is C2/m (No. 12) and the conventional cell measures 5.413, 9.806 and 3.123 Å, with angles of 90.00, 123.03 and 90.00 degrees. Symmetry generates all atoms from Al at (0.250, 0.250, 0.000), Sb at (0.000, 0.000, 0.000) and Rh at (0.000, 0.500, 0.000).

For the electronic total energy, the calculation gives -21.69 eV per atom. The formation energy without anion corrections is -22 kJ/mol of formula units. For the magnetic moment, the calculation gives 0.000 μB/cell.

=====

A crystal of LiAgMo2 relaxed with PBEsol. Source: the Alexandria database, functional meta-GGA SCAN.

The space group is Fm-3m (No. 225) and the conventional cell measures 6.197, 6.197 and 6.197 Å, with angles of 90.00, 90.00 and 90.00 degrees. Symmetry generates all atoms from Li at (0.000, 0.000, 0.000), Ag at (0.000, 0.000, 0.500) and Mo at (0.250, 0.250, 0.250).

As for the formation energy: 97 kJ/mol of atoms. For the electronic total energy, the calculation gives -24.87 eV per atom. For the magnetic moment, the calculation gives 0.001 μB/cell.

=====

A crystal of SrLi2Ag relaxed with PBEsol. Source: the Alexandria database, functional meta-GGA SCAN.

The space group is R3m (No. 160, hexagonal axes) and the conventional cell measures 4.6149, 4.6149 and 16.5515 Å, with angles of 90.00, 90.00 and 120.00 degrees. Symmetry generates all atoms from Sr at (0.0000, 0.0000, 0.0000), Li at (0.0000, 0.0000, 0.5161), Li at (0.0000, 0.0000, 0.8039) and Ag at (0.0000, 0.0000, 0.2015).

As for the formation energy: -16 kJ/mol of atoms. For the electronic total energy, the calculation gives -14.77 eV per atom. For the magnetic moment, the calculation gives 0.016 μB/cell.

=====

A crystal of NaTeOF2 relaxed with PBEsol. Source: the Alexandria database, functional meta-GGA SCAN.

The space group is P4/mmm (No. 123) and the conventional cell measures 3.846, 3.846 and 4.317 Å, with angles of 90.00, 90.00 and 90.00 degrees. Symmetry generates all atoms from Na at (0.000, 0.000, 0.000), Te at (0.500, 0.500, 0.500), O at (0.000, 0.000, 0.500) and F at (0.000, 0.500, 0.000).

For the electronic total energy, the calculation gives -11.94 eV per atom. The formation energy without anion corrections is -474 kJ/mol of formula units. For the magnetic moment, the calculation gives 0.000 μB/cell.

=====

A crystal of ScNb2Pt relaxed with PBEsol. Source: the Alexandria database, functional meta-GGA SCAN.

The space group is Fm-3m (No. 225) and the conventional cell measures 6.478, 6.478 and 6.478 Å, with angles of 90.00, 90.00 and 90.00 degrees. Symmetry generates all atoms from Sc at (0.000, 0.000, 0.000), Nb at (0.250, 0.250, 0.250) and Pt at (0.000, 0.000, 0.500).

As for the formation energy: -20 kJ/mol of atoms. For the electronic total energy, the calculation gives -37.88 eV per atom. For the magnetic moment, the calculation gives 0.000 μB/cell.

=====

A crystal of MgTeMoO6 relaxed with PBEsol. Source: the Alexandria database, functional meta-GGA SCAN.

The space group is P2_12_12 (No. 18) and the conventional cell measures 5.038, 5.262 and 8.796 Å, with angles of 90.00, 90.00 and 90.00 degrees. Symmetry generates all atoms from Mg at (0.000, 0.000, 0.030), Te at (0.000, 0.500, 0.250), Mo at (0.000, 0.500, 0.691), O at (0.152, 0.287, 0.573), O at (0.223, 0.674, 0.108) and O at (0.237, 0.177, 0.207).

For the electronic total energy, the calculation gives -14.76 eV per atom. The formation energy without anion corrections is -1770 kJ/mol of formula units. For the magnetic moment, the calculation gives 0.000 μB/cell.